1.
Compound: AcThHg6
Source: Alexandria
Functional: PBE
Structure: optimized geometry

It has space group Amm2 (No. 38), with a = 5.078 Å, b = 6.987 Å, c = 12.093 Å, α = 90.00°, β = 90.00° and γ = 90.00°. The asymmetric unit holds Ac at (0.000, 0.000, 0.000), Th at (0.500, 0.000, 0.667), Hg at (0.000, 0.000, 0.501), Hg at (0.000, 0.250, 0.250), Hg at (0.500, 0.000, 0.179) and Hg at (0.500, 0.231, 0.411).

For the total DFT energy (no corrections), the calculation gives -0.1463 Ry/atom. As for the formation energy: -0.324 eV/atom. The calculated volume is 429.0 Å³/cell.

---

2.
Compound: Ac5ThHg6
Source: Alexandria
Functional: PBE
Structure: optimized geometry

It has space group C2/m (No. 12), with a = 17.906 Å, b = 7.994 Å, c = 5.668 Å, α = 90.00°, β = 108.21° and γ = 90.00°. The asymmetric unit holds Ac at (0.000, 0.000, 0.000), Ac at (0.165, 0.000, 0.665), Ac at (0.169, 0.500, 0.669), Th at (0.000, 0.500, 0.000), Hg at (0.000, 0.265, 0.500) and Hg at (0.162, 0.258, 0.162).

For the total DFT energy (no corrections), the calculation gives -0.2121 Ry/atom. As for the formation energy: -0.405 eV/atom. The calculated volume is 770.7 Å³/cell.